Entry 1:
Density functional theory data (PBE-GGA) for crystalline BeBPb at its relaxed geometry.

Summary:
The formation energy is 0.158 eV/atom. The spin magnetization is 0.00 μB/f.u. The final energy comes out at -4.546 eV/atom. The space-group type is No. 2. The relative energy among the computed polymorphs is 0.000 eV per atom. The crystal system is triclinic.

Lattice parameters (Å, degrees): 3.091 3.659 8.919 83.93 83.35 89.85
Element x y z (fractional)
Be (0.227, 0.362, 0.070)
Be (0.773, 0.638, 0.930)
B (0.246, 0.888, 0.015)
B (0.754, 0.112, 0.985)
Pb (0.175, 0.774, 0.327)
Pb (0.825, 0.226, 0.673)

=====

Entry 2:
Density functional theory data (PBE-GGA) for crystalline Nd4GeSI2 at its relaxed geometry.

Summary:
Its raw formation energy is -1.267 eV/atom. The spin magnetization is 0.00 μB/f.u. The final energy comes out at -5.132 eV/atom. The space-group type is No. 10. The crystal system is monoclinic.

Lattice parameters (Å, degrees): 7.321 4.284 8.111 90.00 108.01 90.00
Element x y z (fractional)
Nd (0.219, 0.000, 0.188)
Nd (0.258, 0.500, 0.807)
Nd (0.742, 0.500, 0.193)
Nd (0.781, 0.000, 0.812)
Ge (0.500, 0.000, 0.000)
S (0.000, 0.500, 0.000)
I (0.000, 0.000, 0.500)
I (0.500, 0.500, 0.500)

=====

Entry 3:
Density functional theory data (PBE-GGA) for crystalline TbMgSi2 at its relaxed geometry.

Summary:
Its raw formation energy is -0.219 eV/atom. The spin magnetization is 0.00 μB/f.u. The final energy comes out at -4.487 eV/atom. The space-group type is No. 166. The relative energy among the computed polymorphs is 0.228 eV per atom. The crystal system is trigonal.

Lattice parameters (Å, degrees): 5.474 5.474 5.474 47.48 47.48 47.48
Element x y z (fractional)
Tb (0.000, 0.000, 0.000)
Mg (0.500, 0.500, 0.500)
Si (0.224, 0.224, 0.224)
Si (0.776, 0.776, 0.776)

=====

Entry 4:
Density functional theory data (PBE-GGA) for crystalline La4GePbBr2 at its relaxed geometry.

Summary:
Its raw formation energy is -1.109 eV/atom. The spin magnetization is 0.00 μB/f.u. The final energy comes out at -5.032 eV/atom. The space-group type is No. 10. The crystal system is monoclinic.

Lattice parameters (Å, degrees): 7.564 4.549 7.970 90.00 110.27 90.00
Element x y z (fractional)
La (0.230, 0.000, 0.229)
La (0.240, 0.500, 0.763)
La (0.760, 0.500, 0.237)
La (0.770, 0.000, 0.771)
Ge (0.000, 0.500, 0.000)
Pb (0.000, 0.000, 0.500)
Br (0.500, 0.000, 0.000)
Br (0.500, 0.500, 0.500)

=====

Entry 5:
Density functional theory data (PBE-GGA) for crystalline Cu4H2I5 at its relaxed geometry.

Summary:
The spin magnetization is 0.00 μB/f.u. The final energy comes out at -2.841 eV/atom. The space-group type is No. 71. The relative energy among the computed polymorphs is 0.000 eV per atom. The crystal system is orthorhombic.

Lattice parameters (Å, degrees): 10.048 10.048 10.048 157.26 122.73 62.42
Element x y z (fractional)
Cu (0.132, 0.132, 0.000)
Cu (0.310, 0.500, 0.810)
Cu (0.690, 0.500, 0.190)
Cu (0.868, 0.868, 0.000)
H (0.023, 0.023, 0.000)
H (0.977, 0.977, 0.000)
I (0.059, 0.365, 0.693)
I (0.328, 0.635, 0.693)
I (0.500, 0.000, 0.500)
I (0.672, 0.365, 0.307)
I (0.941, 0.635, 0.307)

=====

Entry 6:
Density functional theory data (PBE-GGA) for crystalline NaPdI2O at its relaxed geometry.

Summary:
Its raw formation energy is -0.453 eV/atom. The spin magnetization is 1.13 μB/f.u. The final energy comes out at -3.367 eV/atom. The space-group type is No. 123. The relative energy among the computed polymorphs is 0.000 eV per atom. The crystal system is tetragonal.

Lattice parameters (Å, degrees): 5.737 5.737 3.945 90.00 90.00 90.00
Element x y z (fractional)
Na (0.000, 0.000, 0.000)
Pd (0.500, 0.500, 0.500)
I (0.000, 0.500, 0.500)
I (0.500, 0.000, 0.500)
O (0.500, 0.500, 0.000)

=====

Entry 7:
Density functional theory data (PBE-GGA) for crystalline LiZr2Ir at its relaxed geometry.

Summary:
The formation energy is -0.429 eV/atom. The spin magnetization is 0.00 μB/f.u. The final energy comes out at -7.396 eV/atom. The space-group type is No. 123. The relative energy among the computed polymorphs is 0.039 eV per atom. The crystal system is tetragonal.

Lattice parameters (Å, degrees): 4.617 4.617 3.382 90.00 90.00 90.00
Element x y z (fractional)
Li (0.000, 0.000, 0.000)
Zr (0.000, 0.500, 0.500)
Zr (0.500, 0.000, 0.500)
Ir (0.500, 0.500, 0.000)

=====

Entry 8:
Density functional theory data (PBE-GGA) for crystalline PmCoSn3 at its relaxed geometry.

Summary:
The formation energy is -0.299 eV/atom. The spin magnetization is 0.00 μB/f.u. The final energy comes out at -5.072 eV/atom. The space-group type is No. 11. The relative energy among the computed polymorphs is 0.065 eV per atom. The crystal system is monoclinic.

Lattice parameters (Å, degrees): 6.391 6.656 6.406 90.00 119.83 90.00
Element x y z (fractional)
Pm (0.009, 0.250, 0.253)
Pm (0.991, 0.750, 0.747)
Co (0.326, 0.250, 0.915)
Co (0.674, 0.750, 0.085)
Sn (0.110, 0.750, 0.306)
Sn (0.500, 0.001, 0.745)
Sn (0.500, 0.499, 0.745)
Sn (0.500, 0.501, 0.255)
Sn (0.500, 0.999, 0.255)
Sn (0.890, 0.250, 0.694)

=====

Entry 9:
Density functional theory data (PBE-GGA) for crystalline BaMgBe2 at its relaxed geometry.

Summary:
The formation energy is 0.554 eV/atom. The spin magnetization is 0.00 μB/f.u. The final energy comes out at -2.188 eV/atom. The space-group type is No. 141. The relative energy among the computed polymorphs is 0.254 eV per atom. The crystal system is tetragonal.

Lattice parameters (Å, degrees): 9.670 9.670 9.670 151.42 151.42 40.87
Element x y z (fractional)
Ba (0.375, 0.625, 0.750)
Ba (0.625, 0.375, 0.250)
Mg (0.125, 0.875, 0.250)
Mg (0.875, 0.125, 0.750)
Be (0.000, 0.000, 0.000)
Be (0.000, 0.000, 0.500)
Be (0.000, 0.500, 0.000)
Be (0.500, 0.000, 0.500)

=====

Entry 10:
Density functional theory data (PBE-GGA) for crystalline Pr3Sm2DyEr6 at its relaxed geometry.

Summary:
The formation energy is 0.018 eV/atom. The spin magnetization is 0.00 μB/f.u. The final energy comes out at -4.629 eV/atom. The space-group type is No. 12. The crystal system is monoclinic.

Lattice parameters (Å, degrees): 6.219 6.219 11.769 95.04 95.04 119.99
Element x y z (fractional)
Pr (0.000, 0.000, 0.000)
Pr (0.333, 0.667, 0.000)
Pr (0.667, 0.333, 0.000)
Sm (0.167, 0.833, 0.500)
Sm (0.833, 0.167, 0.500)
Dy (0.500, 0.500, 0.500)
Er (0.084, 0.417, 0.253)
Er (0.250, 0.250, 0.747)
Er (0.417, 0.084, 0.253)
Er (0.583, 0.916, 0.747)
Er (0.750, 0.750, 0.253)
Er (0.916, 0.583, 0.747)

=====

Entry 11:
Density functional theory data (PBE-GGA) for crystalline Nd8TlIn2 at its relaxed geometry.

Summary:
The formation energy is -0.188 eV/atom. The spin magnetization is 0.00 μB/f.u. The final energy comes out at -4.368 eV/atom. The space-group type is No. 12. The relative energy among the computed polymorphs is 0.048 eV per atom. The crystal system is monoclinic.

Lattice parameters (Å, degrees): 9.713 9.713 7.679 113.27 113.27 32.40
Element x y z (fractional)
Nd (0.000, 0.000, 0.231)
Nd (0.000, 0.000, 0.769)
Nd (0.189, 0.189, 0.690)
Nd (0.357, 0.357, 0.629)
Nd (0.358, 0.358, 0.086)
Nd (0.642, 0.642, 0.914)
Nd (0.643, 0.643, 0.371)
Nd (0.811, 0.811, 0.310)
Tl (0.500, 0.500, 0.500)
In (0.188, 0.188, 0.188)
In (0.812, 0.812, 0.812)

=====

Entry 12:
Density functional theory data (PBE-GGA) for crystalline GdDyAlZn at its relaxed geometry.

Summary:
The formation energy is -0.369 eV/atom. The spin magnetization is 7.41 μB/f.u. The final energy comes out at -6.294 eV/atom. The space-group type is No. 216. The crystal system is cubic.

Lattice parameters (Å, degrees): 5.111 5.111 5.111 60.00 60.00 60.00
Element x y z (fractional)
Gd (0.000, 0.000, 0.000)
Dy (0.500, 0.500, 0.500)
Al (0.750, 0.750, 0.750)
Zn (0.250, 0.250, 0.250)

=====

The highest spin magnetization belongs to which entry?
GdDyAlZn